DyHo3Au2 | PBE | relaxed

Results
SG: Ibam, No. 72
Energy relative to the lowest polymorph listed for this composition in meV/atom: 181.8
DFT total energy in eV per formula unit: -27.665
Formation enthalpy at 0 K in kcal/mol of atoms: -10.66

abc: 7.014 7.267 8.562
angles: 115.11 114.18 90.00
Sites, in units of the cell vectors:
Dy 0.000 0.500 0.000
Dy 0.000 0.000 0.000
Ho 0.500 0.250 0.000
Ho 0.500 0.750 0.000
Ho 0.767 0.017 0.534
Ho 0.233 0.483 0.466
Ho 0.233 0.983 0.466
Ho 0.767 0.517 0.534
Au 0.564 0.358 0.717
Au 0.847 0.142 0.283
Au 0.153 0.858 0.717
Au 0.436 0.642 0.283